5
Lattice="5.747 0.000 0.000 0.000 5.747 0.000 0.000 0.000 8.588" Properties=species:S:1:pos:R:3 comment="meta-GGA SCAN KInTeI2, PBEsol geometry" formation_energy_uncorrected_ev_per_atom=-0.181 magnetic_moment_mub_per_fu=1.1 polymorph_energy_kj_per_mol_atoms=44.9 pbc="T T T"
K 0.000 0.000 0.000
In 0.000 0.000 4.294
Te 2.873 2.873 0.000
I 0.000 2.873 4.294
I 2.873 0.000 4.294